## PmErCuSb (GGA-PBE)

Data for PmErCuSb after structural relaxation.

Computed properties:
Energy relative to the elements, uncorrected   -44.8 kJ per mole of atoms
Size of the total moment   0.002 μB/cell

Cell lengths 5.1751, 5.1751, 5.1751 Å; angles 60.00, 60.00, 60.00 degrees
Last column: nearest neighbours and their distance in Å.
Fractional coordinates of all 4 atoms:
Sb 0.0000 0.0000 0.0000  4 Er 3.17, 4 Pm 3.17
Pm 0.7500 0.7500 0.7500  4 Sb 3.17, 4 Cu 3.17
Er 0.2500 0.2500 0.2500  4 Sb 3.17, 4 Cu 3.17
Cu 0.5000 0.5000 0.5000  4 Er 3.17, 4 Pm 3.17